Entry 1:
Compound: Cr2TeAu
Source: Alexandria via LeMat-Bulk
Functional: PBE
Structure: relaxed

a = 5.8857 Å, b = 5.8857 Å, c = 13.4788 Å
α = 90.00°, β = 90.00°, γ = 90.00°
With the nearest neighbours (Å) after each atom.
Space group I-42d (No. 122)
Inequivalent atoms, fractional coordinates:
Cr (0.2456, 0.2500, 0.1250)  2 Au 2.66, 2 Te 2.69
Te (0.0000, 0.0000, 0.5000)  4 Cr 2.69
Au (0.0000, 0.0000, 0.0000)  4 Cr 2.66

Total magnetization in μB/atom: 2.250
Fermi-level density of states in states/eV per atom: 0.5784
Uncorrected formation energy in meV per atom: 586



Entry 2:
Compound: CrTe2Au
Source: Alexandria via LeMat-Bulk
Functional: PBE
Structure: relaxed

a = 5.7873 Å, b = 12.5407 Å, c = 6.0380 Å
α = 90.00°, β = 90.00°, γ = 90.00°
With the nearest neighbours (Å) after each atom.
Space group Ibam (No. 72)
Inequivalent atoms, fractional coordinates:
Cr (0.0000, 0.0000, 0.2500)  4 Te 2.65, 2 Au 2.89
Te (0.2147, 0.1431, 0.0000)  2 Cr 2.65, 2 Au 2.87
Au (0.0000, 0.5000, 0.2500)  4 Te 2.87, 2 Cr 2.89, 2 Au 3.02

Total magnetization in μB/atom: 0.749
Fermi-level density of states in states/eV per atom: 0.5753
Energy relative to the lowest polymorph listed for this composition in meV per atom: 100
Uncorrected formation energy in meV per atom: -19



Entry 3:
Compound: CrTe2Au
Source: Alexandria via LeMat-Bulk
Functional: PBE
Structure: relaxed

a = 4.0911 Å, b = 4.0911 Å, c = 5.7479 Å
α = 90.00°, β = 90.00°, γ = 90.00°
With the nearest neighbours (Å) after each atom.
Space group P4/mmm (No. 123)
Inequivalent atoms, fractional coordinates:
Cr (0.0000, 0.0000, 0.0000)  6 Te 2.87-2.89
Te (0.0000, 0.0000, 0.5000)  2 Cr 2.87, 4 Au 2.89
Te (0.5000, 0.5000, 0.0000)  2 Au 2.87, 4 Cr 2.89
Au (0.5000, 0.5000, 0.5000)  6 Te 2.87-2.89

Total magnetization in μB/atom: 0.950
Fermi-level density of states in states/eV per atom: 0.5060
Energy relative to the lowest polymorph listed for this composition in meV per atom: 115
Uncorrected formation energy in meV per atom: -5



Entry 4:
Compound: CrTe2Au
Source: Alexandria via LeMat-Bulk
Functional: PBE
Structure: relaxed

a = 4.4777 Å, b = 4.4777 Å, c = 20.8839 Å
α = 90.00°, β = 90.00°, γ = 120.00°
With the nearest neighbours (Å) after each atom.
Space group R3m (No. 160, hexagonal axes)
Inequivalent atoms, fractional coordinates:
Cr (0.0000, 0.0000, 0.0000)  4 Te 2.62-2.68
Te (0.0000, 0.0000, 0.1256)  1 Cr 2.62, 3 Au 2.71
Te (0.0000, 0.0000, 0.6333)  3 Cr 2.68, 1 Au 2.82
Au (0.0000, 0.0000, 0.4982)  4 Te 2.71-2.82

Total magnetization in μB/atom: 0.819
Fermi-level density of states in states/eV per atom: 0.5584
Energy relative to the lowest polymorph listed for this composition in meV per atom: 158
Uncorrected formation energy in meV per atom: 39



Entry 5:
Compound: Cr2TeAu
Source: Alexandria via LeMat-Bulk
Functional: PBE
Structure: relaxed

a = 4.6676 Å, b = 4.6676 Å, c = 3.5681 Å
α = 90.00°, β = 90.00°, γ = 90.00°
With the nearest neighbours (Å) after each atom.
Space group P4/mmm (No. 123)
Inequivalent atoms, fractional coordinates:
Cr (0.0000, 0.5000, 0.0000)  4 Te 2.94, 4 Au 2.94
Te (0.0000, 0.0000, 0.5000)  8 Cr 2.94
Au (0.5000, 0.5000, 0.5000)  8 Cr 2.94

Total magnetization in μB/atom: 2.105
Fermi-level density of states in states/eV per atom: 0.6233
Uncorrected formation energy in meV per atom: 309



Entry 6:
Compound: Cr2TeAu
Source: Alexandria via LeMat-Bulk
Functional: PBE
Structure: relaxed

a = 3.4208 Å, b = 3.4208 Å, c = 6.4854 Å
α = 90.00°, β = 90.00°, γ = 90.00°
With the nearest neighbours (Å) after each atom.
Space group P4mm (No. 99)
Inequivalent atoms, fractional coordinates:
Cr (0.0000, 0.0000, 0.0000)  4 Cr 2.76, 1 Te 2.78, 4 Au 2.79
Cr (0.5000, 0.5000, 0.2042)  1 Au 2.72, 4 Cr 2.76, 4 Te 2.82
Te (0.0000, 0.0000, 0.4287)  5 Cr 2.78-2.82
Au (0.5000, 0.5000, 0.7854)  5 Cr 2.72-2.79

Total magnetization in μB/atom: 0.174
Fermi-level density of states in states/eV per atom: 0.8419
Uncorrected formation energy in meV per atom: 235



Entry 7:
Compound: CrTe2Au
Source: Alexandria via LeMat-Bulk
Functional: PBE
Structure: relaxed

a = 3.2421 Å, b = 24.1849 Å, c = 5.2015 Å
α = 90.00°, β = 90.00°, γ = 90.00°
With the nearest neighbours (Å) after each atom.
Space group Cmcm (No. 63)
Inequivalent atoms, fractional coordinates:
Cr (0.0000, 0.0686, 0.2500)  4 Te 2.65-2.79
Te (0.0000, 0.0469, 0.7500)  3 Cr 2.65-2.79
Te (0.0000, 0.1828, 0.2500)  1 Cr 2.76, 5 Au 3.07
Au (0.0000, 0.3099, 0.2500)  5 Te 3.07, 2 Au 3.24

Total magnetization in μB/atom: 0.923
Fermi-level density of states in states/eV per atom: 0.5712
Energy relative to the lowest polymorph listed for this composition in meV per atom: 344
Uncorrected formation energy in meV per atom: 225



Entry 8:
Compound: Cr2TeAu
Source: Alexandria via LeMat-Bulk
Functional: PBE
Structure: relaxed

a = 3.4423 Å, b = 3.4423 Å, c = 6.4428 Å
α = 90.00°, β = 90.00°, γ = 90.00°
With the nearest neighbours (Å) after each atom.
Space group P4/mmm (No. 123)
Inequivalent atoms, fractional coordinates:
Cr (0.0000, 0.0000, 0.2393)  4 Au 2.88, 4 Te 2.96, 1 Cr 3.08
Te (0.5000, 0.5000, 0.5000)  8 Cr 2.96, 2 Au 3.22
Au (0.5000, 0.5000, 0.0000)  8 Cr 2.88, 2 Te 3.22

Total magnetization in μB/atom: 1.944
Fermi-level density of states in states/eV per atom: 0.5847
Uncorrected formation energy in meV per atom: 289



Entry 9:
Compound: CrTe2Au
Source: Alexandria via LeMat-Bulk
Functional: PBE
Structure: relaxed

a = 6.5484 Å, b = 7.2516 Å, c = 3.7717 Å
α = 90.00°, β = 90.00°, γ = 90.00°
With the nearest neighbours (Å) after each atom.
Space group Cmmm (No. 65)
Inequivalent atoms, fractional coordinates:
Cr (0.0000, 0.0000, 0.0000)  8 Te 3.09, 2 Au 3.27
Te (0.2500, 0.2500, 0.5000)  4 Cr 3.09, 4 Au 3.09, 2 Te 3.27
Au (0.0000, 0.5000, 0.0000)  8 Te 3.09, 2 Cr 3.27

Total magnetization in μB/atom: 0.902
Fermi-level density of states in states/eV per atom: 0.6294
Energy relative to the lowest polymorph listed for this composition in meV per atom: 411
Uncorrected formation energy in meV per atom: 291



Entry 10:
Compound: CrTe2Au
Source: Alexandria via LeMat-Bulk
Functional: PBE
Structure: relaxed

a = 4.0083 Å, b = 4.2668 Å, c = 12.5547 Å
α = 90.00°, β = 90.00°, γ = 90.00°
With the nearest neighbours (Å) after each atom.
Space group Immm (No. 71)
Inequivalent atoms, fractional coordinates:
Cr (0.0000, 0.0000, 0.0000)  4 Te 2.75, 4 Au 2.93
Te (0.0000, 0.5000, 0.3498)  2 Cr 2.75, 2 Au 2.85
Au (0.0000, 0.0000, 0.5000)  4 Te 2.85, 4 Cr 2.93

Total magnetization in μB/atom: 0.923
Fermi-level density of states in states/eV per atom: 0.6864
Energy relative to the lowest polymorph listed for this composition in meV per atom: 133
Uncorrected formation energy in meV per atom: 13



Entry 11:
Compound: CrTe2Au
Source: Alexandria via LeMat-Bulk
Functional: PBE
Structure: relaxed

a = 3.3577 Å, b = 25.7615 Å, c = 4.1750 Å
α = 90.00°, β = 90.00°, γ = 90.00°
With the nearest neighbours (Å) after each atom.
Space group Cmcm (No. 63)
Inequivalent atoms, fractional coordinates:
Cr (0.0000, 0.1826, 0.2500)  7 Te 2.64-2.78
Te (0.0000, 0.2892, 0.2500)  5 Cr 2.75-2.78
Te (0.0000, 0.3966, 0.7500)  2 Cr 2.64, 2 Au 2.73
Au (0.0000, 0.4649, 0.2500)  2 Te 2.73, 2 Au 2.76

Total magnetization in μB/atom: 0.000
Fermi-level density of states in states/eV per atom: 0.7920
Energy relative to the lowest polymorph listed for this composition in meV per atom: 305
Uncorrected formation energy in meV per atom: 185



Entry 12:
Compound: CrTeAu
Source: Alexandria via LeMat-Bulk
Functional: PBE
Structure: relaxed

a = 6.4345 Å, b = 6.4345 Å, c = 6.4345 Å
α = 90.00°, β = 90.00°, γ = 90.00°
With the nearest neighbours (Å) after each atom.
Space group F-43m (No. 216)
Inequivalent atoms, fractional coordinates:
Cr (0.0000, 0.0000, 0.0000)  4 Te 2.79, 4 Au 2.79
Te (0.2500, 0.2500, 0.2500)  4 Cr 2.79
Au (0.2500, 0.2500, 0.7500)  4 Cr 2.79

Total magnetization in μB/atom: 1.163
Fermi-level density of states in states/eV per atom: 0.5007
Energy relative to the lowest polymorph listed for this composition in meV per atom: 0
Uncorrected formation energy in meV per atom: 83